(1)
Density functional theory data (GGA-PBE) for an optimized crystal structure of TcINO2.

## Properties
Total magnetization in μB/cell: 0.00
ρ in g/cm3: 6.75
Calculated total energy in eV/atom: -5.95
E_form (uncorrected) in eV per atom: 0.081

CIF file:
```
data_TcINO2
_symmetry_space_group_name_H-M 'P 1'
_symmetry_Int_Tables_number 1
_cell_length_a 3.7988
_cell_length_b 3.7988
_cell_length_c 4.6181
_cell_angle_alpha 90.00
_cell_angle_beta 90.00
_cell_angle_gamma 90.00
loop_
_symmetry_equiv_pos_as_xyz
'x,y,z'
loop_
_atom_site_label
_atom_site_fract_x
_atom_site_fract_y
_atom_site_fract_z
_atom_site_occupancy
N1 0.0000 0.0000 0.5000 1
Tc1 0.0000 0.0000 0.0000 1
O1 0.0000 0.5000 0.0000 1
O2 0.5000 0.0000 0.0000 1
I1 0.5000 0.5000 0.5000 1
```


(2)
Density functional theory data (GGA-PBE) for an optimized crystal structure of TcIN2O.

## Properties
Total magnetization in μB/cell: 0.00
ρ in g/cm3: 6.94
Calculated total energy in eV/atom: -6.02
E_form (uncorrected) in eV per atom: 0.681

CIF file:
```
data_TcIN2O
_symmetry_space_group_name_H-M 'P 1'
_symmetry_Int_Tables_number 1
_cell_length_a 4.0771
_cell_length_b 4.0771
_cell_length_c 3.8694
_cell_angle_alpha 90.00
_cell_angle_beta 90.00
_cell_angle_gamma 90.00
loop_
_symmetry_equiv_pos_as_xyz
'x,y,z'
loop_
_atom_site_label
_atom_site_fract_x
_atom_site_fract_y
_atom_site_fract_z
_atom_site_occupancy
N1 0.0000 0.5000 0.0000 1
I1 0.5000 0.5000 0.5000 1
O1 0.0000 0.0000 0.5000 1
Tc1 0.0000 0.0000 0.0000 1
N2 0.5000 0.0000 0.0000 1
```


(3)
Density functional theory data (GGA-PBE) for an optimized crystal structure of TcIN2O.

## Properties
Total magnetization in μB/cell: 4.60
ρ in g/cm3: 6.48
Calculated total energy in eV/atom: -4.84
E_form (uncorrected) in eV per atom: 1.864

CIF file:
```
data_TcIN2O
_symmetry_space_group_name_H-M 'P 1'
_symmetry_Int_Tables_number 1
_cell_length_a 4.1358
_cell_length_b 4.1358
_cell_length_c 4.0291
_cell_angle_alpha 90.00
_cell_angle_beta 90.00
_cell_angle_gamma 90.00
loop_
_symmetry_equiv_pos_as_xyz
'x,y,z'
loop_
_atom_site_label
_atom_site_fract_x
_atom_site_fract_y
_atom_site_fract_z
_atom_site_occupancy
Tc1 0.5000 0.5000 0.5000 1
I1 0.0000 0.0000 0.0000 1
N1 0.5000 0.0000 0.0000 1
N2 0.0000 0.5000 0.0000 1
O1 0.0000 0.0000 0.5000 1
```


(4)
Density functional theory data (GGA-PBE) for an optimized crystal structure of TcINO2.

## Properties
Total magnetization in μB/cell: 4.98
ρ in g/cm3: 6.19
Calculated total energy in eV/atom: -4.84
E_form (uncorrected) in eV per atom: 1.195

CIF file:
```
data_TcINO2
_symmetry_space_group_name_H-M 'P 1'
_symmetry_Int_Tables_number 1
_cell_length_a 4.1448
_cell_length_b 4.1448
_cell_length_c 4.2319
_cell_angle_alpha 90.00
_cell_angle_beta 90.00
_cell_angle_gamma 90.00
loop_
_symmetry_equiv_pos_as_xyz
'x,y,z'
loop_
_atom_site_label
_atom_site_fract_x
_atom_site_fract_y
_atom_site_fract_z
_atom_site_occupancy
Tc1 0.5000 0.5000 0.5000 1
O1 0.5000 0.0000 0.0000 1
I1 0.0000 0.0000 0.0000 1
O2 0.0000 0.5000 0.0000 1
N1 0.0000 0.0000 0.5000 1
```


(5)
Density functional theory data (GGA-PBE) for an optimized crystal structure of TcINO2.

## Properties
Total magnetization in μB/cell: 3.60
ρ in g/cm3: 6.77
Calculated total energy in eV/atom: -4.46
E_form (uncorrected) in eV per atom: 1.575

CIF file:
```
data_TcINO2
_symmetry_space_group_name_H-M 'P 1'
_symmetry_Int_Tables_number 1
_cell_length_a 3.9915
_cell_length_b 3.9915
_cell_length_c 4.1715
_cell_angle_alpha 90.00
_cell_angle_beta 90.00
_cell_angle_gamma 90.00
loop_
_symmetry_equiv_pos_as_xyz
'x,y,z'
loop_
_atom_site_label
_atom_site_fract_x
_atom_site_fract_y
_atom_site_fract_z
_atom_site_occupancy
O1 0.5000 0.0000 0.0000 1
N1 0.0000 0.0000 0.0000 1
I1 0.0000 0.0000 0.5000 1
Tc1 0.5000 0.5000 0.5000 1
O2 0.0000 0.5000 0.0000 1
```


(6)
Density functional theory data (GGA-PBE) for an optimized crystal structure of TcIN2O.

## Properties
Total magnetization in μB/cell: 0.46
ρ in g/cm3: 7.04
Calculated total energy in eV/atom: -4.35
E_form (uncorrected) in eV per atom: 2.352

CIF file:
```
data_TcIN2O
_symmetry_space_group_name_H-M 'P 1'
_symmetry_Int_Tables_number 1
_cell_length_a 3.9146
_cell_length_b 3.9146
_cell_length_c 4.1404
_cell_angle_alpha 90.00
_cell_angle_beta 90.00
_cell_angle_gamma 90.00
loop_
_symmetry_equiv_pos_as_xyz
'x,y,z'
loop_
_atom_site_label
_atom_site_fract_x
_atom_site_fract_y
_atom_site_fract_z
_atom_site_occupancy
N1 0.0000 0.5000 0.0000 1
Tc1 0.5000 0.5000 0.5000 1
I1 0.0000 0.0000 0.5000 1
O1 0.0000 0.0000 0.0000 1
N2 0.5000 0.0000 0.0000 1
```